DFT (GGA-PBE) results for a geometry-optimized LaTb3NdEr structure.

The density of states at the Fermi level is 9.79 states/eV/f.u. Its calculated formation energy is 1.1 eV per formula unit. The total moment is 0.00 μB/f.u. The calculation puts the total energy at -4.5056 eV per atom.

The structure in CIF format:
```
data_LaTb3NdEr
_chemical_formula_sum 'La4 Tb12 Nd4 Er4'
_symmetry_space_group_name_H-M 'C 1 2/m 1'
_symmetry_Int_Tables_number 12
_symmetry_space_group_name_Hall '-C 2y'
_cell_length_a 19.884
_cell_length_b 5.703
_cell_length_c 7.084
_cell_angle_alpha 90.00
_cell_angle_beta 90.69
_cell_angle_gamma 90.00
loop_
_atom_site_label
_atom_site_fract_x
_atom_site_fract_y
_atom_site_fract_z
_atom_site_occupancy
La1 0.145 0.000 0.028 1
Tb1 0.022 0.000 0.737 1
Tb2 0.165 0.500 0.728 1
Tb3 0.220 0.500 0.245 1
Nd1 0.052 0.500 0.266 1
Er1 0.150 0.000 0.460 1
```